VASP calculation (PBE) on a relaxed structure of BaNi2Cl.

Computed properties:
The space group is Pmmm (47). The value obtained for the uncorrected formation energy is -171 meV per atom. The energy above the most stable polymorph in this dataset is 0.113 eV per atom.

Unit cell a=4.3364 b=4.4660 c=4.7704 alpha=90.00 beta=90.00 gamma=90.00
Atoms (fractional coordinates):
1 Ba 0.0000 0.0000 0.0000
2 Ni 0.5000 0.5000 0.2421
3 Ni 0.5000 0.5000 0.7579
4 Cl 0.0000 0.5000 0.5000